# 1
VASP calculation (PBE) on crystalline Ca2Ho2Mg15 at its relaxed geometry.

```
Ca2Ho2Mg15
1.0
-2.721 3.876 -6.459
-7.217 -3.458 -0.324
-4.068 5.720 3.857
Mg Ca Ho
15 2 2
Direct
0.000 0.000 0.500
0.000 0.500 0.000
0.847 0.354 0.354
0.704 0.000 0.296
0.646 0.646 0.153
0.500 0.000 0.000
0.153 0.646 0.646
0.296 0.704 0.000
0.000 0.296 0.704
0.354 0.354 0.847
0.000 0.704 0.296
0.354 0.847 0.354
0.704 0.296 0.000
0.646 0.153 0.646
0.296 0.000 0.704
0.338 0.338 0.338
0.662 0.662 0.662
0.901 0.901 0.901
0.099 0.099 0.099
```

Properties
- energy of formation (eV/atom) = 0.001
- space group = No. 166
- density (g cm⁻³) = 2.6

=====

# 2
VASP calculation (PBE) on crystalline Er5Ag6 at its relaxed geometry.

```
Er5Ag6
1.0
-1.008 -4.882 -0.076
5.437 -1.198 4.681
-6.979 3.934 3.461
Er Ag
5 6
Direct
0.346 0.846 0.691
0.654 0.154 0.309
0.330 0.330 0.659
0.670 0.670 0.341
0.000 0.500 0.000
0.501 0.268 0.000
0.172 0.913 0.345
0.172 0.432 0.345
0.828 0.568 0.655
0.499 0.732 0.000
0.828 0.087 0.655
```

Properties
- energy of formation (eV/atom) = -0.182
- space group = No. 71
- density (g cm⁻³) = 9.0

=====

# 3
VASP calculation (PBE) on crystalline Pa2SbN at its relaxed geometry.

```
Pa2SbN
1.0
4.492 0.000 -0.004
0.000 4.492 -0.004
0.003 0.003 8.855
N Sb Pa
2 2 4
Direct
0.250 0.250 0.396
0.750 0.750 0.604
0.750 0.750 0.211
0.250 0.250 0.789
0.250 0.250 0.151
0.750 0.750 0.849
0.750 0.250 0.500
0.250 0.750 0.500
```

Properties
- space group = No. 129
- density (g cm⁻³) = 11.1
- excess energy over the best structure of this formula in the dataset (eV per atom) = 0.002

=====

# 4
VASP calculation (PBE) on crystalline Te3AuSe at its relaxed geometry.

```
Te3AuSe
1.0
5.630 0.089 0.000
0.094 6.206 0.000
0.000 0.000 8.140
Se Te Au
2 6 2
Direct
0.343 0.611 0.250
0.657 0.389 0.750
0.843 0.833 0.992
0.262 0.623 0.750
0.738 0.377 0.250
0.843 0.833 0.508
0.157 0.167 0.492
0.157 0.167 0.008
0.511 0.994 0.250
0.489 0.006 0.750
```

Properties
- space group = No. 11
- density (g cm⁻³) = 7.7
- excess energy over the best structure of this formula in the dataset (eV per atom) = 0.000

=====

# 5
VASP calculation (PBE) on crystalline KYN3 at its relaxed geometry.

```
KYN3
1.0
-1.583 3.719 -0.951
-3.839 -1.527 0.417
0.024 1.038 4.021
N Y K
3 1 1
Direct
0.000 0.000 0.500
0.000 0.500 0.000
0.500 0.000 0.000
0.500 0.500 0.500
0.000 0.000 0.000
```

Properties
- space group = No. 221
- density (g cm⁻³) = 3.9
- DFT total energy (eV/atom) = -4.512

=====

# 6
VASP calculation (PBE) on crystalline NaLa2Ir2 at its relaxed geometry.

```
NaLa2Ir2
1.0
-5.716 -5.339 -3.489
-1.166 -3.731 7.620
-2.444 2.168 0.687
Ir Na La
4 2 4
Direct
0.647 0.853 0.500
0.147 0.647 0.500
0.353 0.147 0.500
0.853 0.353 0.500
0.000 0.000 0.000
0.500 0.500 0.000
0.648 0.148 0.000
0.352 0.852 0.000
0.148 0.352 0.000
0.852 0.648 0.000
```

Properties
- energy of formation (eV/atom) = -0.311
- space group = No. 127
- density (g cm⁻³) = 9.3
- excess energy over the best structure of this formula in the dataset (eV per atom) = 0.119